Record 1
First-principles (PBE) data for crystalline Sr2As3Pd4Pb at its relaxed geometry, as listed in Alexandria via LeMat-Bulk.

## Properties
For the energy relative to the elements, the calculation gives -0.6894 eV per atom.

a = 4.4847 Å, b = 4.4847 Å, c = 10.7519 Å
α = 90.00°, β = 90.00°, γ = 90.00°
Last column: nearest neighbours and their distance in Å.
Atoms (fractional coordinates):
Sr 0.5000 0.0000 0.2348  8 Pd 3.38-3.41, 6 As 3.40-3.63, 2 Pb 3.63
Sr 0.0000 0.5000 0.7652  8 Pd 3.38-3.41, 6 As 3.40-3.63, 2 Pb 3.63
As 0.0000 0.0000 0.5000  4 Pd 2.75
As 0.5000 0.0000 0.8786  5 Pd 2.47-2.59
As 0.0000 0.5000 0.1214  5 Pd 2.47-2.59
Pd 0.5000 0.5000 0.0000  4 As 2.59
Pd 0.0000 0.0000 0.0000  4 As 2.59
Pd 0.5000 0.0000 0.6488  3 As 2.47-2.75, 2 Pb 2.75
Pd 0.0000 0.5000 0.3512  3 As 2.47-2.75, 2 Pb 2.75
Pb 0.5000 0.5000 0.5000  4 Pd 2.75

---

Record 2
First-principles (PBE) data for crystalline SrAs2Pd4Pb at its relaxed geometry, as listed in Alexandria via LeMat-Bulk.

## Properties
For the energy relative to the elements, the calculation gives -0.5257 eV per atom.

a = 4.4954 Å, b = 4.4954 Å, c = 8.2317 Å
α = 90.00°, β = 90.00°, γ = 90.00°
Last column: nearest neighbours and their distance in Å.
Atoms (fractional coordinates):
Sr 0.0000 0.0000 0.5000  8 Pd 3.32, 8 As 3.43
As 0.5000 0.5000 0.3440  4 Pd 2.53, 1 As 2.57
As 0.5000 0.5000 0.6560  4 Pd 2.53, 1 As 2.57
Pd 0.0000 0.5000 0.2029  2 As 2.53, 2 Pb 2.80
Pd 0.5000 0.0000 0.7971  2 As 2.53, 2 Pb 2.80
Pd 0.5000 0.0000 0.2029  2 As 2.53, 2 Pb 2.80
Pd 0.0000 0.5000 0.7971  2 As 2.53, 2 Pb 2.80
Pb 0.0000 0.0000 0.0000  8 Pd 2.80

---

Record 3
First-principles (PBE) data for crystalline Sr2AsPd6Pb at its relaxed geometry, as listed in Alexandria via LeMat-Bulk.

## Properties
For the energy relative to the elements, the calculation gives -0.5590 eV per atom.

a = 5.7002 Å, b = 8.7385 Å, c = 8.9980 Å
α = 90.00°, β = 90.00°, γ = 90.00°
Last column: nearest neighbours and their distance in Å.
Atoms (fractional coordinates):
Sr 0.5000 0.7292 0.2498  9 Pd 3.18-3.55
Sr 0.0000 0.2708 0.7498  9 Pd 3.18-3.55
Sr 0.5000 0.7292 0.7502  9 Pd 3.18-3.55
Sr 0.0000 0.2708 0.2502  9 Pd 3.18-3.55
As 0.5000 0.2328 0.5000  6 Pd 2.47-2.53
As 0.0000 0.7672 0.0000  6 Pd 2.47-2.53
Pd 0.5000 0.0948 0.2531  1 As 2.53, 1 Pb 2.78, 4 Pd 2.79
Pd 0.5000 0.0948 0.7469  1 As 2.53, 1 Pb 2.78, 4 Pd 2.79
Pd 0.0000 0.9052 0.2469  1 As 2.53, 1 Pb 2.78, 4 Pd 2.79
Pd 0.0000 0.9052 0.7531  1 As 2.53, 1 Pb 2.78, 4 Pd 2.79
Pd 0.2461 0.9967 0.5000  1 As 2.52, 1 Pb 2.77, 5 Pd 2.79-2.81
Pd 0.7539 0.9967 0.5000  1 As 2.52, 1 Pb 2.77, 5 Pd 2.79-2.81
Pd 0.2562 0.4658 0.5000  1 As 2.47, 1 Pb 2.68
Pd 0.7438 0.4658 0.5000  1 As 2.47, 1 Pb 2.68
Pd 0.7562 0.5342 0.0000  1 As 2.47, 1 Pb 2.68
Pd 0.2438 0.5342 0.0000  1 As 2.47, 1 Pb 2.68
Pd 0.2539 0.0033 0.0000  1 As 2.52, 1 Pb 2.77, 5 Pd 2.79-2.81
Pd 0.7461 0.0033 0.0000  1 As 2.52, 1 Pb 2.77, 5 Pd 2.79-2.81
Pb 0.0000 0.7228 0.5000  6 Pd 2.68-2.78
Pb 0.5000 0.2772 0.0000  6 Pd 2.68-2.78

---

Record 4
First-principles (PBE) data for crystalline Sr3As2Pd4Pb2 at its relaxed geometry, as listed in Alexandria via LeMat-Bulk.

## Properties
For the energy relative to the elements, the calculation gives -0.6763 eV per atom.

a = 4.6298 Å, b = 4.6298 Å, c = 14.5282 Å
α = 90.00°, β = 90.00°, γ = 120.00°
Last column: nearest neighbours and their distance in Å.
Atoms (fractional coordinates):
Sr 0.0000 0.0000 0.7364  6 Pd 3.07-3.24, 3 As 3.12
Sr 0.0000 0.0000 0.0000  6 Pd 3.34, 6 As 3.47
Sr 0.0000 0.0000 0.2636  6 Pd 3.07-3.24, 3 As 3.12
As 0.6667 0.3333 0.8474  3 Pd 2.68
As 0.3333 0.6667 0.1526  3 Pd 2.68
Pd 0.6667 0.3333 0.1378  3 As 2.68
Pd 0.3333 0.6667 0.8622  3 As 2.68
Pd 0.6667 0.3333 0.6326  4 Pb 2.85-2.87, 3 Sr 3.07, 1 As 3.12
Pd 0.3333 0.6667 0.3674  4 Pb 2.85-2.87, 3 Sr 3.07, 1 As 3.12
Pb 0.6667 0.3333 0.4351  4 Pd 2.85-2.87
Pb 0.3333 0.6667 0.5649  4 Pd 2.85-2.87

---

Record 5
First-principles (PBE) data for crystalline TbAs2Pd7Pb2 at its relaxed geometry, as listed in Alexandria via LeMat-Bulk.

## Properties
For the energy relative to the elements, the calculation gives -0.4606 eV per atom.

a = 4.0803 Å, b = 4.0803 Å, c = 14.5022 Å
α = 85.43°, β = 85.43°, γ = 89.99°
Last column: nearest neighbours and their distance in Å.
Atoms (fractional coordinates):
Tb 0.0000 0.0000 0.0000  12 Pd 2.89-2.96
As 0.5714 0.5714 0.7524  5 Pd 2.48-2.49
As 0.4286 0.4286 0.2476  5 Pd 2.48-2.49
Pd 0.5000 0.5000 0.0000  4 Tb 2.89, 8 Pd 2.95-2.96
Pd 0.3905 0.3905 0.4198  1 As 2.48, 1 Pd 2.77
Pd 0.6095 0.6095 0.5802  1 As 2.48, 1 Pd 2.77
Pd 0.9562 0.4568 0.1482  2 As 2.49
Pd 0.4568 0.9562 0.1482  2 As 2.49
Pd 0.5432 0.0438 0.8518  2 As 2.49
Pd 0.0438 0.5432 0.8518  2 As 2.49
Pb 0.8876 0.8876 0.3924  5 Pd 2.85-3.00
Pb 0.1124 0.1124 0.6076  5 Pd 2.85-3.00

---

Record 6
First-principles (PBE) data for crystalline TeAs2Pd9Pb3 at its relaxed geometry, as listed in Alexandria via LeMat-Bulk.

## Properties
The calculation puts the uncorrected formation energy at -0.18 eV/atom.

a = 6.7019 Å, b = 6.7019 Å, c = 8.7271 Å
α = 90.00°, β = 90.00°, γ = 120.00°
Last column: nearest neighbours and their distance in Å.
Atoms (fractional coordinates):
Te 0.0000 0.0000 0.5000  6 Pd 2.64
As 0.3333 0.6667 0.1800  6 Pd 2.35-2.49
As 0.6667 0.3333 0.8200  6 Pd 2.35-2.49
Pd 0.8594 0.1406 0.7380  1 As 2.35
Pd 0.8594 0.7189 0.7380  1 As 2.35
Pd 0.2811 0.1406 0.7380  1 As 2.35
Pd 0.7189 0.8594 0.2620  1 As 2.35
Pd 0.1406 0.2811 0.2620  1 As 2.35
Pd 0.1406 0.8594 0.2620  1 As 2.35
Pd 0.5000 0.0000 0.0000  2 As 2.49
Pd 0.0000 0.5000 0.0000  2 As 2.49
Pd 0.5000 0.5000 0.0000  2 As 2.49
Pb 0.3333 0.6667 0.7213  9 Pd 3.11-3.37
Pb 0.0000 0.0000 0.0000  6 Pd 2.81
Pb 0.6667 0.3333 0.2787  9 Pd 3.11-3.37

---

Ordered VASP energy results: -4.8686 -4.9582 -4.8469 -4.5429 -5.2686 -4.8632; unit eV/atom.